Crystalline InFeP at its relaxed geometry, computed with GGA-PBE.

Cell lengths 6.148, 6.148, 2.863 Å; angles 76.54, 76.53, 26.92 degrees
Fractional coordinates of all 3 atoms:
Fe  0.973  0.973  0.027
In  0.649  0.649  0.351
P  0.378  0.378  0.622

Values from the calculation:
ΔH_f (0 K) = 0.78 kcal/mol of atoms
Symmetry = I4mm, No. 107
Energy = -16.509 eV per cell

=====

Crystalline KNF4 at its relaxed geometry, computed with GGA-PBE.

Cell lengths 7.045, 4.270, 6.640 Å; angles 90.00, 90.00, 90.00 degrees
Fractional coordinates of all 12 atoms:
K  0.023  0.211  0.000
K  0.523  0.789  0.500
N  0.440  0.313  0.000
N  0.940  0.687  0.500
F  0.463  0.635  0.000
F  0.624  0.205  0.000
F  0.411  0.284  0.720
F  0.911  0.716  0.780
F  0.124  0.795  0.500
F  0.963  0.365  0.500
F  0.911  0.716  0.220
F  0.411  0.284  0.280

Values from the calculation:
Distance to the lowest polymorph of the same formula = 0.000 eV per atom
Uncorrected formation energy = -1.093 eV/atom
Symmetry = Pmn2_1, No. 31
Energy = -46.938 eV per cell

=====

Crystalline DyTl2Ag2Se4 at its relaxed geometry, computed with GGA-PBE.

Cell lengths 4.122, 8.055, 7.998 Å; angles 108.82, 104.93, 90.00 degrees
Fractional coordinates of all 9 atoms:
Dy  0.000  0.000  0.000
Tl  0.130  0.566  0.261
Tl  0.870  0.434  0.739
Ag  0.679  0.984  0.358
Ag  0.321  0.016  0.642
Se  0.198  0.204  0.395
Se  0.802  0.796  0.605
Se  0.510  0.755  0.021
Se  0.490  0.245  0.979

Values from the calculation:
Uncorrected formation energy = -0.684 eV/atom
Symmetry = C2/m, No. 12
Energy = -35.135 eV per cell

=====

Crystalline Pm2AlSi3 at its relaxed geometry, computed with GGA-PBE.

Cell lengths 5.924, 5.924, 8.255 Å; angles 111.35, 111.35, 89.17 degrees
Fractional coordinates of all 12 atoms:
Pm  0.750  0.250  0.500
Pm  0.754  0.246  0.000
Pm  0.250  0.750  0.500
Pm  0.246  0.754  0.000
Al  0.665  0.665  0.331
Al  0.335  0.335  0.669
Si  0.835  0.835  0.167
Si  0.668  0.668  0.833
Si  0.165  0.165  0.833
Si  0.332  0.332  0.167
Si  0.164  0.164  0.328
Si  0.836  0.836  0.672

Values from the calculation:
Distance to the lowest polymorph of the same formula = 0.033 eV per atom
Uncorrected formation energy = -0.595 eV/atom
Symmetry = Fmmm, No. 69
Energy = -66.167 eV per cell

=====

Crystalline CdFe2Re at its relaxed geometry, computed with GGA-PBE.

Cell lengths 4.839, 4.839, 4.628 Å; angles 74.65, 74.65, 33.13 degrees
Fractional coordinates of all 4 atoms:
Cd  0.258  0.258  0.223
Fe  0.021  0.021  0.994
Fe  0.739  0.739  0.734
Re  0.482  0.482  0.550

Values from the calculation:
ΔH_f (0 K) = 9.36 kcal/mol of atoms
Symmetry = Cm, No. 8
Energy = -28.665 eV per cell

=====

Crystalline As2PbSe4 at its relaxed geometry, computed with GGA-PBE.

Cell lengths 3.952, 6.802, 13.819 Å; angles 90.00, 90.00, 106.89 degrees
Fractional coordinates of all 14 atoms:
As  0.142  0.283  0.443
As  0.858  0.717  0.943
As  0.142  0.283  0.057
As  0.858  0.717  0.557
Pb  0.576  0.152  0.750
Pb  0.424  0.848  0.250
Se  0.768  0.536  0.111
Se  0.768  0.536  0.389
Se  0.232  0.464  0.889
Se  0.232  0.464  0.611
Se  0.921  0.842  0.750
Se  0.079  0.158  0.250
Se  0.500  0.000  0.000
Se  0.500  0.000  0.500

Values from the calculation:
Uncorrected formation energy = -0.195 eV/atom
Symmetry = Cmcm, No. 63
Energy = -56.618 eV per cell

=====

Crystalline Er2Al9Cu at its relaxed geometry, computed with GGA-PBE.

Cell lengths 4.193, 4.193, 12.156 Å; angles 90.00, 90.00, 90.00 degrees
Fractional coordinates of all 12 atoms:
Er  0.000  0.000  0.324
Er  0.000  0.000  0.676
Al  0.500  0.500  0.000
Al  0.500  0.500  0.327
Al  0.500  0.500  0.673
Al  0.500  0.000  0.143
Al  0.500  0.000  0.500
Al  0.500  0.000  0.857
Al  0.000  0.500  0.143
Al  0.000  0.500  0.500
Al  0.000  0.500  0.857
Cu  0.000  0.000  0.000

Values from the calculation:
ΔH_f (0 K) = -6.09 kcal/mol of atoms
Symmetry = P4/mmm, No. 123
Energy = -50.075 eV per cell

=====

Crystalline Pu2Te3Au at its relaxed geometry, computed with GGA-PBE.

Cell lengths 4.281, 11.254, 14.451 Å; angles 90.00, 90.00, 90.00 degrees
Fractional coordinates of all 24 atoms:
Pu  0.750  0.221  0.016
Pu  0.750  0.721  0.484
Pu  0.250  0.779  0.984
Pu  0.250  0.279  0.516
Pu  0.750  0.974  0.253
Pu  0.750  0.474  0.247
Pu  0.250  0.026  0.747
Pu  0.250  0.526  0.753
Te  0.750  0.960  0.898
Te  0.750  0.460  0.602
Te  0.250  0.040  0.102
Te  0.250  0.540  0.398
Te  0.750  0.587  0.904
Te  0.750  0.087  0.596
Te  0.250  0.413  0.096
Te  0.250  0.913  0.404
Te  0.750  0.725  0.148
Te  0.750  0.225  0.352
Te  0.250  0.275  0.852
Te  0.250  0.775  0.648
Au  0.750  0.766  0.775
Au  0.750  0.266  0.725
Au  0.250  0.234  0.225
Au  0.250  0.734  0.275

Values from the calculation:
Uncorrected formation energy = -0.811 eV/atom
Symmetry = Pnma, No. 62
Energy = -184.941 eV per cell

=====

Mass density list, top to bottom, in kg/m³: 7039; 2147; 7571; 5353; 11966; 6287; 4980; 10186